This record from Alexandria describes a relaxed structure of BeFe2AgF. The functional is GGA+U.

Cell: 5.114 4.230 5.114 Å, 90.00 90.00 90.00°
Site moments in Bohr magnetons follow the coordinates.
Fractional coordinates of all 5 atoms:
1 Be 0.500 0.500 0.500  -0.03
2 Fe 0.000 0.000 0.500  3.78
3 Ag 0.000 0.000 0.000  0.05
4 F 0.000 0.500 0.000  0.04
5 Fe 0.500 0.000 0.000  3.80

Summary:
* Fermi-level density of states: 0.507 states/eV per atom
* crystal system: tetragonal
* total magnetization: 7.8 μB/cell
* E_tot: -14.83 eV per cell
* space-group type: P4/mmm